# CrFe2CoN, relaxed, DFT PBE
# **Final energy**: -8.4445 eV per atom
# **Theoretical density**: 7.26 g/cm³
# **Energy relative to the elements, uncorrected**: -0.048 eV per atom
data_CrFe2CoN
_cell_length_a 3.785
_cell_length_b 3.785
_cell_length_c 3.780
_cell_angle_alpha 90.00
_cell_angle_beta 90.00
_cell_angle_gamma 90.00
_symmetry_space_group_name_H-M 'P 4/m m m'
_symmetry_Int_Tables_number 123
_symmetry_space_group_name_Hall '-P 4 2'
loop_
_atom_site_label
_atom_site_fract_x
_atom_site_fract_y
_atom_site_fract_z
_atom_site_occupancy
Cr1 0.000 0.000 0.000 1
Fe1 0.000 0.500 0.500 1
Co1 0.500 0.500 0.000 1
N1 0.000 0.000 0.500 1



# CrFeCo2N, relaxed, DFT PBE
# **Final energy**: -8.1427 eV per atom
# **Theoretical density**: 7.53 g/cm³
# **Energy relative to the elements, uncorrected**: -0.018 eV per atom
data_CrFeCo2N
_cell_length_a 3.741
_cell_length_b 3.741
_cell_length_c 3.777
_cell_angle_alpha 90.00
_cell_angle_beta 90.00
_cell_angle_gamma 90.00
_symmetry_space_group_name_H-M 'P 4/m m m'
_symmetry_Int_Tables_number 123
_symmetry_space_group_name_Hall '-P 4 2'
loop_
_atom_site_label
_atom_site_fract_x
_atom_site_fract_y
_atom_site_fract_z
_atom_site_occupancy
Cr1 0.000 0.000 0.000 1
Fe1 0.500 0.500 0.000 1
Co1 0.000 0.500 0.500 1
N1 0.000 0.000 0.500 1



# CrFeCoNi, relaxed, DFT PBE
# **E_form**: 0.131 eV per atom
# **Final energy**: -7.6120 eV per atom
# **Theoretical density**: 8.44 g/cm³
# **E above lowest polymorph**: 0.508 eV/f.u.
data_CrFeCoNi
_cell_length_a 5.619
_cell_length_b 5.619
_cell_length_c 5.619
_cell_angle_alpha 90.00
_cell_angle_beta 90.00
_cell_angle_gamma 90.00
_symmetry_space_group_name_H-M 'F -4 3 m'
_symmetry_Int_Tables_number 216
_symmetry_space_group_name_Hall 'F -4 2 3'
loop_
_atom_site_label
_atom_site_fract_x
_atom_site_fract_y
_atom_site_fract_z
_atom_site_occupancy
Cr1 0.000 0.000 0.000 1
Fe1 0.250 0.250 0.250 1
Co1 0.250 0.250 0.750 1
Ni1 0.000 0.000 0.500 1



# CrFeCoNi, relaxed, DFT PBE
# **E_form**: 0.004 eV per atom
# **Final energy**: -7.7389 eV per atom
# **Theoretical density**: 8.49 g/cm³
# **E above lowest polymorph**: 0.000 eV/f.u.
data_CrFeCoNi
_cell_length_a 4.369
_cell_length_b 4.010
_cell_length_c 5.036
_cell_angle_alpha 90.00
_cell_angle_beta 90.26
_cell_angle_gamma 90.00
_symmetry_space_group_name_H-M 'P 1 m 1'
_symmetry_Int_Tables_number 6
loop_
_symmetry_equiv_pos_as_xyz
'x,y,z'
'x,-y,z'
loop_
_atom_site_label
_atom_site_fract_x
_atom_site_fract_y
_atom_site_fract_z
_atom_site_occupancy
Cr1 0.000 0.000 0.000 1
Cr2 0.327 0.500 0.503 1
Fe1 0.492 0.000 0.258 1
Fe2 0.836 0.500 0.255 1
Co1 0.498 0.000 0.756 1
Co2 0.991 0.000 0.508 1
Ni1 0.334 0.500 0.001 1
Ni2 0.827 0.500 0.752 1



# CrFe2CoOs, relaxed, DFT PBE
# **E_form**: 1.412 eV per atom
# **Final energy**: -7.5651 eV per atom
# **Theoretical density**: 9.94 g/cm³
data_CrFe2CoOs
_cell_length_a 4.097
_cell_length_b 4.097
_cell_length_c 4.110
_cell_angle_alpha 90.00
_cell_angle_beta 90.00
_cell_angle_gamma 90.00
_symmetry_space_group_name_H-M 'P 4/m m m'
_symmetry_Int_Tables_number 123
_symmetry_space_group_name_Hall '-P 4 2'
loop_
_atom_site_label
_atom_site_fract_x
_atom_site_fract_y
_atom_site_fract_z
_atom_site_occupancy
Cr1 0.000 0.000 0.000 1
Fe1 0.000 0.500 0.000 1
Co1 0.000 0.000 0.500 1
Os1 0.500 0.500 0.500 1



# CrFe2CoPb, relaxed, DFT PBE
# **E_form**: 1.674 eV per atom
# **Final energy**: -5.7986 eV per atom
# **Theoretical density**: 8.60 g/cm³
data_CrFe2CoPb
_cell_length_a 4.178
_cell_length_b 4.178
_cell_length_c 4.754
_cell_angle_alpha 90.00
_cell_angle_beta 90.00
_cell_angle_gamma 90.00
_symmetry_space_group_name_H-M 'P 4/m m m'
_symmetry_Int_Tables_number 123
_symmetry_space_group_name_Hall '-P 4 2'
loop_
_atom_site_label
_atom_site_fract_x
_atom_site_fract_y
_atom_site_fract_z
_atom_site_occupancy
Cr1 0.000 0.000 0.000 1
Fe1 0.000 0.500 0.500 1
Co1 0.500 0.500 0.500 1
Pb1 0.500 0.500 0.000 1



# CrFe5Co2Re2, relaxed, DFT PBE
# **E_form**: 0.242 eV per atom
# **Final energy**: -8.8624 eV per atom
# **Theoretical density**: 11.26 g/cm³
data_CrFe5Co2Re2
_cell_length_a 8.048
_cell_length_b 8.048
_cell_length_c 3.741
_cell_angle_alpha 90.00
_cell_angle_beta 90.00
_cell_angle_gamma 90.00
_symmetry_space_group_name_H-M 'P 4/m b m'
_symmetry_Int_Tables_number 127
_symmetry_space_group_name_Hall '-P 4 2ab'
loop_
_atom_site_label
_atom_site_fract_x
_atom_site_fract_y
_atom_site_fract_z
_atom_site_occupancy
Cr1 0.000 0.000 0.000 1
Fe1 0.000 0.500 0.500 1
Fe2 0.065 0.202 0.500 1
Co1 0.121 0.379 0.000 1
Re1 0.175 0.675 0.000 1



# CrFeCoSb, relaxed, DFT PBE
# **Final energy**: -7.2221 eV per atom
# **Theoretical density**: 9.01 g/cm³
# **Energy relative to the elements, uncorrected**: 0.106 eV per atom
data_CrFeCoSb
_cell_length_a 5.969
_cell_length_b 5.969
_cell_length_c 5.969
_cell_angle_alpha 90.00
_cell_angle_beta 90.00
_cell_angle_gamma 90.00
_symmetry_space_group_name_H-M 'F -4 3 m'
_symmetry_Int_Tables_number 216
_symmetry_space_group_name_Hall 'F -4 2 3'
loop_
_atom_site_label
_atom_site_fract_x
_atom_site_fract_y
_atom_site_fract_z
_atom_site_occupancy
Cr1 0.000 0.000 0.000 1
Fe1 0.250 0.250 0.750 1
Co1 0.250 0.250 0.250 1
Sb1 0.000 0.000 0.500 1



# CrFe2CoTc, relaxed, DFT PBE
# **E_form**: 1.648 eV per atom
# **Final energy**: -7.1559 eV per atom
# **Theoretical density**: 6.15 g/cm³
data_CrFe2CoTc
_cell_length_a 4.404
_cell_length_b 4.404
_cell_length_c 4.463
_cell_angle_alpha 90.00
_cell_angle_beta 90.00
_cell_angle_gamma 90.00
_symmetry_space_group_name_H-M 'P 4/m m m'
_symmetry_Int_Tables_number 123
_symmetry_space_group_name_Hall '-P 4 2'
loop_
_atom_site_label
_atom_site_fract_x
_atom_site_fract_y
_atom_site_fract_z
_atom_site_occupancy
Cr1 0.000 0.000 0.000 1
Fe1 0.000 0.500 0.500 1
Co1 0.500 0.500 0.000 1
Tc1 0.000 0.000 0.500 1



# CrFe5Co2Tc2, relaxed, DFT PBE
# **E_form**: 0.230 eV per atom
# **Final energy**: -8.4583 eV per atom
# **Theoretical density**: 8.80 g/cm³
data_CrFe5Co2Tc2
_cell_length_a 8.059
_cell_length_b 8.059
_cell_length_c 3.749
_cell_angle_alpha 90.00
_cell_angle_beta 90.00
_cell_angle_gamma 90.00
_symmetry_space_group_name_H-M 'P 4/m b m'
_symmetry_Int_Tables_number 127
_symmetry_space_group_name_Hall '-P 4 2ab'
loop_
_atom_site_label
_atom_site_fract_x
_atom_site_fract_y
_atom_site_fract_z
_atom_site_occupancy
Cr1 0.000 0.000 0.000 1
Fe1 0.000 0.500 0.500 1
Fe2 0.064 0.202 0.500 1
Co1 0.122 0.378 0.000 1
Tc1 0.175 0.675 0.000 1



# CrFe2CoTe, relaxed, DFT PBE
# **Final energy**: -6.0616 eV per atom
# **Theoretical density**: 6.63 g/cm³
# **Energy relative to the elements, uncorrected**: 1.298 eV per atom
data_CrFe2CoTe
_cell_length_a 4.256
_cell_length_b 4.256
_cell_length_c 4.840
_cell_angle_alpha 90.00
_cell_angle_beta 90.00
_cell_angle_gamma 90.00
_symmetry_space_group_name_H-M 'P 4/m m m'
_symmetry_Int_Tables_number 123
_symmetry_space_group_name_Hall '-P 4 2'
loop_
_atom_site_label
_atom_site_fract_x
_atom_site_fract_y
_atom_site_fract_z
_atom_site_occupancy
Cr1 0.000 0.000 0.000 1
Fe1 0.000 0.500 0.000 1
Co1 0.500 0.500 0.500 1
Te1 0.000 0.000 0.500 1



# ZnCr2FeCo, relaxed, DFT PBE
# **E_form**: 1.971 eV per atom
# **Final energy**: -5.2472 eV per atom
# **Theoretical density**: 6.23 g/cm³
data_ZnCr2FeCo
_cell_length_a 4.263
_cell_length_b 4.263
_cell_length_c 4.168
_cell_angle_alpha 90.00
_cell_angle_beta 90.00
_cell_angle_gamma 90.00
_symmetry_space_group_name_H-M 'P 4/m m m'
_symmetry_Int_Tables_number 123
_symmetry_space_group_name_Hall '-P 4 2'
loop_
_atom_site_label
_atom_site_fract_x
_atom_site_fract_y
_atom_site_fract_z
_atom_site_occupancy
Zn1 0.000 0.000 0.000 1
Cr1 0.000 0.500 0.000 1
Fe1 0.000 0.000 0.500 1
Co1 0.500 0.500 0.500 1